The following is a PBE calculation of an optimized crystal structure of Sr2AlIn, from Alexandria via LeMat-Bulk.

- ΔE_f: 3.00 kJ per mole of atoms
- Final energy: -2.43 eV/atom
- Energy above the lowest structure with this stoichiometry: 317.4 meV/atom
- DOS(E_F): 17.81 states/eV per cell
- Crystal system: cubic

a b c (Å): 8.0090 8.0090 8.0090
angles (deg): 90.00 90.00 90.00
Space group F-43m (No. 216)
Inequivalent atoms, fractional coordinates:
Sr: 0.0000 0.0000 0.0000 (multiplicity 4)
Sr: 0.2500 0.2500 0.2500 (multiplicity 4)
Al: 0.0000 0.0000 0.5000 (multiplicity 4)
In: 0.2500 0.2500 0.7500 (multiplicity 4)



The following is a PBE calculation of an optimized crystal structure of NbTcPCl2, from Alexandria via LeMat-Bulk.

- Final energy: -5.35 eV/atom
- Energy above the lowest structure with this stoichiometry: 0.0 meV/atom
- DOS(E_F): 4.51 states/eV per cell
- Crystal system: tetragonal

a b c (Å): 4.7764 4.7764 5.0615
angles (deg): 90.00 90.00 90.00
Space group P4/mmm (No. 123)
Inequivalent atoms, fractional coordinates:
Nb: 0.0000 0.0000 0.0000 (multiplicity 1)
Tc: 0.5000 0.5000 0.5000 (multiplicity 1)
P: 0.0000 0.0000 0.5000 (multiplicity 1)
Cl: 0.0000 0.5000 0.0000 (multiplicity 2)



The following is a PBE calculation of an optimized crystal structure of Sc2BeSb, from Alexandria via LeMat-Bulk.

- Final energy: -4.97 eV/atom
- Energy above the lowest structure with this stoichiometry: 635.4 meV/atom
- DOS(E_F): 9.26 states/eV per cell
- Crystal system: trigonal

a b c (Å): 3.3651 3.3651 28.1378
angles (deg): 90.00 90.00 120.00
Space group R-3m (No. 166, hexagonal axes)
Inequivalent atoms, fractional coordinates:
Sc: 0.0000 0.0000 0.1043 (multiplicity 6)
Be: 0.0000 0.0000 0.5000 (multiplicity 3)
Sb: 0.0000 0.0000 0.0000 (multiplicity 3)



The following is a PBE calculation of an optimized crystal structure of ZnGe3Os, from Alexandria via LeMat-Bulk.

- ΔE_f: 43.37 kJ per mole of atoms
- Final energy: -4.82 eV/atom
- Energy above the lowest structure with this stoichiometry: 0.0 meV/atom
- DOS(E_F): 7.56 states/eV per cell
- Crystal system: cubic

a b c (Å): 4.8160 4.8160 4.8160
angles (deg): 90.00 90.00 90.00
Space group Pm-3m (No. 221)
Inequivalent atoms, fractional coordinates:
Zn: 0.0000 0.0000 0.0000 (multiplicity 1)
Ge: 0.0000 0.5000 0.5000 (multiplicity 3)
Os: 0.5000 0.5000 0.5000 (multiplicity 1)